Entry 1:
First-principles (PBE) data for a relaxed LaFeSi2 crystal, as listed in Alexandria.

Unit cell a=8.556 b=8.556 c=8.556 alpha=21.45 beta=21.45 gamma=21.45
Each line ends with the local moment (μB).
Sites, in units of the cell vectors:
Fe 0.518 0.518 0.518  1.90
Si 0.983 0.983 0.983  0.00
Si 0.245 0.245 0.245  -0.06
La 0.754 0.754 0.754  0.03

**Symmetry**: No. 160
**Calculated volume**: 73.4 Å³ per cell
**E_tot**: -0.20941 Ha/atom
**Formation energy from raw total energies**: 0.361 eV per atom

***

Entry 2:
First-principles (PBE) data for a relaxed GaPdBr crystal, as listed in Alexandria.

Unit cell a=4.202 b=7.190 c=11.259 alpha=90.00 beta=90.00 gamma=90.00
Sites, in units of the cell vectors:
Pd 0.575 0.124 0.035
Ga 0.574 0.930 0.845
Ga 0.074 0.570 0.845
Pd 0.575 0.624 0.965
Br 0.080 0.486 0.649
Pd 0.075 0.876 0.965
Ga 0.074 0.070 0.155
Br 0.080 0.986 0.351
Ga 0.574 0.430 0.155
Br 0.580 0.014 0.649
Pd 0.075 0.376 0.035
Br 0.580 0.514 0.351

**Distance to the lowest polymorph of the same formula**: 0 meV/atom
**Symmetry**: No. 29
**Calculated volume**: 340.2 Å³ per cell
**E_tot**: -0.14006 Ha/atom
**Formation energy from raw total energies**: -0.514 eV per atom